A plane-wave DFT calculation with GGA-PBE was carried out for crystalline Al3CdH at its relaxed geometry.

CIF file:
```
data_Al3CdH
_chemical_formula_sum 'Al3 Cd1 H1'
_space_group_name_H-M_alt 'P 1'
_space_group_IT_number 1
_cell_length_a 4.253
_cell_length_b 4.253
_cell_length_c 4.253
_cell_angle_alpha 90.00
_cell_angle_beta 90.00
_cell_angle_gamma 90.00
loop_
_space_group_symop_operation_xyz
'x,y,z'
loop_
_atom_site_label
_atom_site_fract_x
_atom_site_fract_y
_atom_site_fract_z
Al1 0.000 0.000 0.500
Al2 0.000 0.500 0.000
Al3 0.500 0.000 0.000
Cd1 0.500 0.500 0.500
H1 0.000 0.000 0.000
```

Results
The value obtained for the density of states at the Fermi level is 1.35 states/eV/cell. As for the space group: Pm-3m. The value obtained for the calculated volume is 76.9 Å³/cell. As for the mass density: 4.2 Mg/m³. The value obtained for the relative energy among the computed polymorphs is 0.000 eV per atom.